{
  "formula": "ZrPPb2",
  "functional": "PBE",
  "state": "optimized geometry",
  "cell": [[5.018, 0.000, 0.000], [0.000, 5.018, 0.000], [0.000, 0.000, 3.765]],
  "species": ["Zr", "P", "Pb", "Pb"],
  "frac_coords": [[0.000, 0.000, 0.000], [0.500, 0.500, 0.000], [0.000, 0.500, 0.500], [0.500, 0.000, 0.500]],
  "m_tot_mub_per_fu": 0.00,
  "density_g_cm3": 9.4,
  "energy_ev_per_atom": -5.1844,
  "e_form_kj_per_mol_atoms": 15.4
}

=====

{
  "formula": "Zr2PPb",
  "functional": "PBE",
  "state": "optimized geometry",
  "cell": [[3.879, 0.000, 0.000], [0.000, 3.879, 0.000], [0.000, 0.000, 6.018]],
  "species": ["Zr", "Zr", "P", "Pb"],
  "frac_coords": [[0.000, 0.000, 0.000], [0.500, 0.500, 0.351], [0.000, 0.000, 0.436], [0.500, 0.500, 0.849]],
  "m_tot_mub_per_fu": 0.00,
  "density_g_cm3": 7.7,
  "relative_energy_mev_per_atom": 370,
  "energy_ev_per_atom": -7.0166,
  "e_form_kj_per_mol_atoms": -44.7
}

=====

{
  "formula": "ZrPPb2",
  "functional": "PBE",
  "state": "optimized geometry",
  "cell": [[1.892, 1.093, 8.361], [-1.892, 1.093, 8.361], [0.000, -2.185, 8.361]],
  "species": ["Zr", "P", "Pb", "Pb"],
  "frac_coords": [[0.000, 0.000, 0.000], [0.722, 0.722, 0.722], [0.241, 0.241, 0.241], [0.469, 0.469, 0.469]],
  "m_tot_mub_per_fu": 0.00,
  "density_g_cm3": 8.6,
  "energy_ev_per_atom": -5.5660,
  "e_form_kj_per_mol_atoms": -21.5
}

=====

{
  "formula": "ZrPPb2",
  "functional": "PBE",
  "state": "optimized geometry",
  "cell": [[3.301, 0.000, 0.000], [0.000, 3.301, 0.000], [0.000, 0.000, 8.759]],
  "species": ["Zr", "P", "Pb", "Pb"],
  "frac_coords": [[0.000, 0.000, 0.000], [0.000, 0.000, 0.500], [0.500, 0.500, 0.265], [0.500, 0.500, 0.735]],
  "m_tot_mub_per_fu": 0.00,
  "density_g_cm3": 9.3,
  "energy_ev_per_atom": -4.9673,
  "e_form_kj_per_mol_atoms": 36.3
}

=====

{
  "formula": "Zr2PPb",
  "functional": "PBE",
  "state": "optimized geometry",
  "cell": [[-1.755, 1.777, 7.294], [1.755, -1.777, 7.294], [1.755, 1.777, -7.294]],
  "species": ["Zr", "Zr", "P", "Pb"],
  "frac_coords": [[0.000, 0.000, 0.000], [0.804, 0.304, 0.500], [0.435, 0.435, 0.000], [0.172, 0.672, 0.500]],
  "m_tot_mub_per_fu": 0.00,
  "density_g_cm3": 7.7,
  "relative_energy_mev_per_atom": 204,
  "energy_ev_per_atom": -7.1826,
  "e_form_kj_per_mol_atoms": -60.7
}

=====

{
  "formula": "PPd",
  "functional": "PBE",
  "state": "optimized geometry",
  "cell": [[4.560, -1.784, 0.000], [4.560, 1.784, 0.000], [-0.474, 0.000, 4.264]],
  "species": ["P", "P", "Pd", "Pd"],
  "frac_coords": [[0.000, 0.000, 0.000], [0.182, 0.182, 0.372], [0.332, 0.332, 0.952], [0.603, 0.603, 0.682]],
  "m_tot_mub_per_fu": 0.00,
  "density_g_cm3": 6.6,
  "energy_ev_per_atom": -5.5754,
  "e_form_kj_per_mol_atoms": -26.4
}

=====

{
  "formula": "PPd",
  "functional": "PBE",
  "state": "optimized geometry",
  "cell": [[4.936, 0.000, 0.000], [0.000, 6.729, 0.000], [0.000, 0.000, 8.817]],
  "species": ["P", "P", "P", "P", "P", "P", "P", "P", "Pd", "Pd", "Pd", "Pd", "Pd", "Pd", "Pd", "Pd"],
  "frac_coords": [[0.138, 0.078, 0.357], [0.210, 0.426, 0.017], [0.290, 0.574, 0.517], [0.362, 0.922, 0.857], [0.638, 0.422, 0.643], [0.710, 0.074, 0.983], [0.790, 0.926, 0.483], [0.862, 0.578, 0.143], [0.224, 0.407, 0.290], [0.241, 0.925, 0.591], [0.259, 0.075, 0.091], [0.276, 0.593, 0.790], [0.724, 0.093, 0.710], [0.741, 0.575, 0.409], [0.759, 0.425, 0.909], [0.776, 0.907, 0.210]],
  "m_tot_mub_per_fu": 0.00,
  "density_g_cm3": 6.2,
  "energy_ev_per_atom": -5.4790,
  "e_form_kj_per_mol_atoms": -17.1
}

=====

{
  "formula": "PPd",
  "functional": "PBE",
  "state": "optimized geometry",
  "cell": [[-1.501, 1.501, 3.689], [1.501, -1.501, 3.689], [1.501, 1.501, -3.689]],
  "species": ["P", "Pd"],
  "frac_coords": [[0.000, 0.000, 0.000], [0.750, 0.250, 0.500]],
  "m_tot_mub_per_fu": 0.00,
  "density_g_cm3": 6.9,
  "energy_ev_per_atom": -5.4940,
  "e_form_kj_per_mol_atoms": -18.6
}